A geometry-optimized VI2NF structure, computed with GGA+U.

Cell and atoms, written as CIF:
```
data_VI2NF
_space_group_name_H-M_alt 'P 4/m m m'
_space_group_IT_number 123
_space_group_name_Hall '-P 4 2'
_cell_length_a 5.413
_cell_length_b 5.413
_cell_length_c 3.628
_cell_angle_alpha 90.00
_cell_angle_beta 90.00
_cell_angle_gamma 90.00
loop_
_atom_site_label
_atom_site_fract_x
_atom_site_fract_y
_atom_site_fract_z
_atom_site_occupancy
V1 0.000 0.000 0.000 1
I1 0.000 0.500 0.000 1
N1 0.000 0.000 0.500 1
F1 0.500 0.500 0.500 1
```

Results
Density: 5.28 Mg/m³
Offset from the most stable computed form: 0.000 eV/atom